Record 1
First-principles (PBE-GGA) data for an optimized crystal structure of Mn2FeP, as listed in the Alexandria database.

Cell: 3.5390 3.5390 3.5374 Å, 90.00 90.00 90.00°
Space group P4/mmm (No. 123)
Symmetry-distinct sites (fractional):
Mn1 0.0000 0.5000 0.0000 x2
Fe1 0.0000 0.0000 0.5000 x1
P1 0.5000 0.5000 0.5000 x1

Properties
Formation enthalpy at 0 K   -0.9 eV per formula unit



Record 2
First-principles (PBE-GGA) data for an optimized crystal structure of MnFeP, as listed in the Alexandria database.

Cell: 2.6446 3.5073 6.9056 Å, 90.00 90.00 90.00°
Space group Imm2 (No. 44)
Symmetry-distinct sites (fractional):
Mn1 0.0000 0.0000 0.0000 x2
Fe1 0.0000 0.0000 0.3403 x2
P1 0.0000 0.0000 0.6698 x2

Properties
Formation enthalpy at 0 K   -0.3 eV per formula unit



Record 3
First-principles (PBE-GGA) data for an optimized crystal structure of MnFe2P, as listed in the Alexandria database.

Cell: 3.5120 2.6044 9.5890 Å, 90.00 90.00 90.00°
Space group Amm2 (No. 38)
Symmetry-distinct sites (fractional):
Mn1 0.0000 0.0000 0.0000 x2
Fe1 0.0000 0.0000 0.2625 x2
Fe2 0.5000 0.0000 0.6151 x2
P1 0.5000 0.0000 0.8512 x2

Properties
Formation enthalpy at 0 K   -0.5 eV per formula unit



Record 4
First-principles (PBE-GGA) data for an optimized crystal structure of MnFe3P, as listed in the Alexandria database.

Cell: 4.1611 4.1611 4.1611 Å, 90.00 90.00 90.00°
Space group Pm-3m (No. 221)
Symmetry-distinct sites (fractional):
Mn1 0.0000 0.0000 0.0000 x1
Fe1 0.0000 0.5000 0.5000 x3
P1 0.5000 0.5000 0.5000 x1

Properties
Formation enthalpy at 0 K   1.6 eV per formula unit
Offset from the most stable computed form   0.0 meV/atom



Record 5
First-principles (PBE-GGA) data for an optimized crystal structure of MnFeP, as listed in the Alexandria database.

Cell: 8.0648 2.7053 6.0192 Å, 90.00 90.68 90.00°
Space group Cm (No. 8)
Symmetry-distinct sites (fractional):
Mn1 0.0000 0.0000 0.0000 x2
Mn2 0.0798 0.5000 0.3191 x2
Fe1 0.2252 0.5000 0.7453 x2
Fe2 0.3475 0.5000 0.3687 x2
P1 0.2743 0.0000 0.0670 x2
P2 0.4488 0.0000 0.6618 x2

Properties
Formation enthalpy at 0 K   -0.6 eV per formula unit



Record 6
First-principles (PBE-GGA) data for an optimized crystal structure of MnFeP, as listed in the Alexandria database.

Cell: 8.0544 2.7327 6.1859 Å, 90.00 97.31 90.00°
Space group Cm (No. 8)
Symmetry-distinct sites (fractional):
Mn1 0.0000 0.0000 0.0000 x2
Mn2 0.0198 0.5000 0.6591 x2
Fe1 0.2185 0.0000 0.3825 x2
Fe2 0.2594 0.0000 0.7872 x2
P1 0.2219 0.5000 0.0728 x2
P2 0.4378 0.5000 0.3663 x2

Properties
Formation enthalpy at 0 K   -0.4 eV per formula unit



Record 7
First-principles (PBE-GGA) data for an optimized crystal structure of MnFe2P8, as listed in the Alexandria database.

Cell: 10.1584 6.5990 4.7374 Å, 90.00 92.83 90.00°
Space group C2/m (No. 12)
Symmetry-distinct sites (fractional):
Mn1 0.0000 0.0000 0.0000 x2
Fe1 0.2497 0.0000 0.7815 x4
P1 0.0980 0.0000 0.4351 x4
P2 0.1070 0.5000 0.5527 x4
P3 0.1406 0.2756 0.9208 x8

Properties
Formation enthalpy at 0 K   -1.8 eV per formula unit



Record 8
First-principles (PBE-GGA) data for an optimized crystal structure of MnFeP, as listed in the Alexandria database.

Cell: 3.4261 3.4497 5.9205 Å, 90.00 90.00 90.00°
Space group Pmm2 (No. 25)
Symmetry-distinct sites (fractional):
Mn1 0.0000 0.0000 0.0000 x1
Mn2 0.0000 0.5000 0.3603 x1
Fe1 0.5000 0.0000 0.3600 x1
Fe2 0.5000 0.5000 0.7207 x1
P1 0.0000 0.0000 0.6184 x1
P2 0.5000 0.5000 0.0984 x1

Properties
Formation enthalpy at 0 K   -1.3 eV per formula unit



| no. | DFT total energy (eV/atom) | calculated volume (A^3/atom) | N(E_F) (states/eV/atom) |
| --- | --- | --- | --- |
| 1 | -8.266 | 11.1 | 0.63 |
| 2 | -7.776 | 10.7 | 1.10 |
| 3 | -8.013 | 11.0 | 1.11 |
| 4 | -7.673 | 14.4 | 0.68 |
| 5 | -7.890 | 10.9 | 0.80 |
| 6 | -7.825 | 11.3 | 0.96 |
| 7 | -6.467 | 14.4 | 0.46 |
| 8 | -8.099 | 11.7 | 0.80 |